Density functional theory data (PBE) for a geometry-optimized GdTmZrAl structure.

```
GdTmZrAl
1.0
-0.1798 -5.0228 -1.1494
2.0825 -3.4553 3.2103
-3.0407 -3.1582 2.7133
Gd Tm Al Zr
1 1 1 1
direct
0.7500 0.7500 0.7500
0.0000 0.0000 0.0000
0.5000 0.5000 0.5000
0.2500 0.2500 0.2500
```

The value obtained for the total energy is -7.7432 eV/atom. As for the magnetic moment: 7.623 μB/f.u. Its calculated formation energy is -3.1 kJ/mol of atoms.


Density functional theory data (PBE) for a geometry-optimized GdUAl4 structure.

```
GdUAl4
1.0
5.5578 0.0000 0.0000
2.7789 4.8132 0.0000
2.7789 1.6044 4.5379
Gd U Al
1 1 4
direct
0.0000 0.0000 0.0000
0.2500 0.2500 0.2500
0.6246 0.6246 0.1262
0.6246 0.1262 0.6246
0.6246 0.6246 0.6246
0.1262 0.6246 0.6246
```

The value obtained for the total energy is -6.9662 eV/atom. As for the magnetic moment: 10.161 μB/f.u. Its calculated formation energy is -23.4 kJ/mol of atoms.


Density functional theory data (PBE) for a geometry-optimized Gd2UAl structure.

```
Gd2UAl
1.0
-1.9947 -2.0216 -1.3960
-0.0843 -3.0274 0.9177
-8.8045 0.9155 7.6679
Gd U Al
2 1 1
direct
0.9077 0.9077 0.2768
0.0923 0.0923 0.7232
0.0000 0.0000 0.0000
0.5000 0.5000 0.5000
```

The value obtained for the total energy is -10.4679 eV/atom. As for the magnetic moment: 12.747 μB/f.u. Its calculated formation energy is 31.9 kJ/mol of atoms.


Density functional theory data (PBE) for a geometry-optimized GdAl2V structure.

```
GdAl2V
1.0
2.9802 0.0000 0.0000
1.4901 2.5810 0.0000
1.4901 0.8603 9.7309
Gd Al V
1 2 1
direct
0.5000 0.5000 0.5000
0.7388 0.7388 0.7836
0.2612 0.2612 0.2164
0.0000 0.0000 0.0000
```

The value obtained for the total energy is -7.5704 eV/atom. As for the magnetic moment: 7.271 μB/f.u. Its calculated formation energy is 9.7 kJ/mol of atoms.


Density functional theory data (PBE) for a geometry-optimized Gd2AlV structure.

```
Gd2AlV
1.0
-5.0855 0.0886 -0.6250
-2.9037 -3.6637 2.0992
-3.0501 1.1062 3.9665
Gd Al V
2 1 1
direct
0.2500 0.2500 0.2500
0.7500 0.7500 0.7500
0.0000 0.0000 0.0000
0.5000 0.5000 0.5000
```

The value obtained for the total energy is -10.2616 eV/atom. As for the magnetic moment: 17.422 μB/f.u. Its calculated formation energy is -0.6 kJ/mol of atoms.


Density functional theory data (PBE) for a geometry-optimized GdAl2W structure.

```
GdAl2W
1.0
-2.4937 -1.1609 1.1618
-0.6209 -2.8948 -0.3881
3.8123 -3.5003 8.5220
Gd Al W
1 2 1
direct
0.5000 0.5000 0.5000
0.7400 0.7400 0.7799
0.2600 0.2600 0.2201
0.0000 0.0000 0.0000
```

The value obtained for the total energy is -8.4792 eV/atom. As for the magnetic moment: 7.163 μB/f.u. Its calculated formation energy is 14.5 kJ/mol of atoms.


Density functional theory data (PBE) for a geometry-optimized Gd2YAl structure.

```
Gd2YAl
1.0
3.5380 0.0000 0.0000
0.0000 3.5380 0.0000
0.0000 0.0000 9.1333
Y Gd Al
1 2 1
direct
0.5000 0.5000 0.5000
0.0000 0.0000 0.7867
0.0000 0.0000 0.2133
0.5000 0.5000 0.0000
```

The value obtained for the total energy is -9.7638 eV/atom. As for the magnetic moment: 14.549 μB/f.u. Its calculated formation energy is -16.6 kJ/mol of atoms.


Density functional theory data (PBE) for a geometry-optimized Gd2YAl structure.

```
Gd2YAl
1.0
-0.9518 -3.3508 -3.3773
3.8857 -2.4192 1.3052
-2.5854 -2.4488 3.1582
Y Gd Al
1 2 1
direct
0.5000 0.0000 0.0000
0.0000 0.0000 0.5000
0.0000 0.5000 0.0000
0.5000 0.5000 0.5000
```

The value obtained for the total energy is -9.7907 eV/atom. As for the magnetic moment: 15.326 μB/f.u. Its calculated formation energy is -19.2 kJ/mol of atoms.


> calculated formation energy of number 6 (GdAl2W)?

14.5 kJ/mol of atoms


> Which value of magnetic moment does entry 8 give?

15.326 μB/f.u.